(1)
# CaBeCd4 | Alexandria via LeMat-Bulk | GGA-PBE | relaxed
data_CaBeCd4
_chemical_formula_sum 'Ca4 Be4 Cd16'
_space_group_name_H-M_alt 'F -4 3 m'
_space_group_IT_number 216
_space_group_name_Hall 'F -4 2 3'
_cell_length_a 8.2058
_cell_length_b 8.2058
_cell_length_c 8.2058
_cell_angle_alpha 90.00
_cell_angle_beta 90.00
_cell_angle_gamma 90.00
loop_
_atom_site_label
_atom_site_fract_x
_atom_site_fract_y
_atom_site_fract_z
Ca1 0.0000 0.0000 0.0000
Be1 0.2500 0.2500 0.2500
Cd1 0.1248 0.1248 0.6248
# - energy relative to the elements (meV per atom) = 218

---

(2)
# CeMgZr2 | Alexandria via LeMat-Bulk | GGA-PBE | relaxed
data_CeMgZr2
_chemical_formula_sum 'Ce3 Mg3 Zr6'
_space_group_name_H-M_alt 'R 3 m'
_space_group_IT_number 160
_space_group_name_Hall 'R 3 -2"'
_cell_length_a 3.1759
_cell_length_b 3.1759
_cell_length_c 32.7867
_cell_angle_alpha 90.00
_cell_angle_beta 90.00
_cell_angle_gamma 120.00
loop_
_atom_site_label
_atom_site_fract_x
_atom_site_fract_y
_atom_site_fract_z
Ce1 0.0000 0.0000 0.0000
Mg1 0.0000 0.0000 0.1668
Zr1 0.0000 0.0000 0.5817
Zr2 0.0000 0.0000 0.7522
# - energy relative to the elements (meV per atom) = 83

---

(3)
# Rb2ZnCd12Au3 | Alexandria via LeMat-Bulk | GGA-PBE | relaxed
data_Rb2ZnCd12Au3
_chemical_formula_sum 'Rb6 Zn3 Cd36 Au9'
_space_group_name_H-M_alt 'R -3 m'
_space_group_IT_number 166
_space_group_name_Hall '-R 3 2"'
_cell_length_a 9.7056
_cell_length_b 9.7056
_cell_length_c 21.7755
_cell_angle_alpha 90.00
_cell_angle_beta 90.00
_cell_angle_gamma 120.00
loop_
_atom_site_label
_atom_site_fract_x
_atom_site_fract_y
_atom_site_fract_z
Rb1 0.0000 0.0000 0.1004
Zn1 0.0000 0.0000 0.5000
Cd1 0.0239 0.5119 0.1290
Cd2 0.1094 0.5547 0.3923
Au1 0.0000 0.5000 0.0000
# - energy relative to the elements (meV per atom) = 51